The following is a DFT calculation (PBE-GGA) of Ba3LiAc3O8 after structural relaxation. Values from VASP.

Values from the calculation:
The value obtained for the total magnetization is 0.0 μB per cell. The calculation puts the total energy at -6.599 eV per atom. The density of states at the Fermi level comes out at 0.0 states/eV per cell.

Structure (Quantum ESPRESSO input):
```
&SYSTEM
  ibrav = 0, nat = 15, ntyp = 4
/
ATOMIC_SPECIES
Ba 137.33 Ba.upf
O 16.00 O.upf
Ac 227.00 Ac.upf
Li 6.94 Li.upf
CELL_PARAMETERS angstrom
7.508 0.000 0.000
-3.754 6.501 -0.023
0.000 -4.312 6.295
ATOMIC_POSITIONS angstrom
Ba 1.877 3.251 -0.011
O 5.653 -1.090 1.831
O 1.899 3.278 4.442
O 1.855 -1.090 1.831
O 0.000 -0.012 4.453
O 0.000 2.173 1.686
Ba -1.877 3.251 -0.011
Ac -1.877 1.094 3.136
Ac 1.877 1.094 3.136
O -1.899 3.278 4.442
O 3.754 0.016 4.586
Ac 3.754 -2.156 3.147
Ba 0.000 0.000 0.000
Li 0.000 -2.156 3.147
O 3.754 2.201 1.820
```

---

The following is a DFT calculation (PBE-GGA) of BaLi2AcPb2 after structural relaxation. Values from VASP.

Values from the calculation:
The formation energy from the elements is -484 meV/atom. The value obtained for the total magnetization is 0.0 μB per cell. The calculation puts the total energy at -3.363 eV per atom. The density of states at the Fermi level comes out at 3.4 states/eV per cell.

Structure (Quantum ESPRESSO input):
```
&SYSTEM
  ibrav = 0, nat = 6, ntyp = 4
/
ATOMIC_SPECIES
Pb 207.20 Pb.upf
Li 6.94 Li.upf
Ba 137.33 Ba.upf
Ac 227.00 Ac.upf
CELL_PARAMETERS angstrom
-1.680 -0.424 4.808
5.012 0.372 -0.932
-0.532 8.603 0.573
ATOMIC_POSITIONS angstrom
Pb 2.631 2.524 1.142
Li 0.396 2.333 3.061
Ba 0.000 0.000 0.000
Li 2.403 6.218 1.388
Ac -0.266 4.302 0.286
Pb 0.168 6.027 3.307
```

---

The following is a DFT calculation (PBE-GGA) of BaLiAcPr after structural relaxation. Values from VASP.

Values from the calculation:
The formation energy from the elements is 269 meV/atom. The value obtained for the total magnetization is 0.0 μB per cell. The calculation puts the total energy at -2.912 eV per atom. The density of states at the Fermi level comes out at 5.5 states/eV per cell.

Structure (Quantum ESPRESSO input):
```
&SYSTEM
  ibrav = 0, nat = 4, ntyp = 4
/
ATOMIC_SPECIES
Ac 227.00 Ac.upf
Pr 140.91 Pr.upf
Li 6.94 Li.upf
Ba 137.33 Ba.upf
CELL_PARAMETERS angstrom
6.149 0.000 0.000
3.074 5.325 0.000
3.074 1.775 5.020
ATOMIC_POSITIONS angstrom
Ac 0.000 0.000 0.000
Pr 3.074 1.775 1.255
Li 6.149 3.550 2.510
Ba 9.223 5.325 3.765
```

---

The following is a DFT calculation (PBE-GGA) of BaLiAcS3 after structural relaxation. Values from VASP.

Values from the calculation:
The value obtained for the total magnetization is 0.0 μB per cell. The calculation puts the total energy at -5.318 eV per atom. The density of states at the Fermi level comes out at 0.0 states/eV per cell.

Structure (Quantum ESPRESSO input):
```
&SYSTEM
  ibrav = 0, nat = 12, ntyp = 4
/
ATOMIC_SPECIES
Li 6.94 Li.upf
Ac 227.00 Ac.upf
Ba 137.33 Ba.upf
S 32.06 S.upf
CELL_PARAMETERS angstrom
4.295 0.000 0.000
0.000 9.019 0.397
0.000 -1.974 8.798
ATOMIC_POSITIONS angstrom
Li 3.221 7.464 4.003
Ac 1.074 5.596 1.841
Ac 3.221 1.449 7.354
Ba 1.074 1.062 2.058
Li 1.074 -0.419 5.193
Ba 3.221 5.983 7.137
S 3.221 7.669 1.576
S 1.074 -0.624 7.619
S 1.074 6.380 4.682
S 3.221 0.665 4.513
S 3.221 3.506 1.589
S 1.074 3.539 7.606
```

---

The following is a DFT calculation (PBE-GGA) of BaLiAc2S4 after structural relaxation. Values from VASP.

Values from the calculation:
The value obtained for the total magnetization is 0.0 μB per cell. The calculation puts the total energy at -5.510 eV per atom. The density of states at the Fermi level comes out at 3.8 states/eV per cell.

Structure (Quantum ESPRESSO input):
```
&SYSTEM
  ibrav = 0, nat = 16, ntyp = 4
/
ATOMIC_SPECIES
Ba 137.33 Ba.upf
Li 6.94 Li.upf
S 32.06 S.upf
Ac 227.00 Ac.upf
CELL_PARAMETERS angstrom
4.274 0.000 0.000
-2.137 7.135 0.000
0.000 0.000 14.678
ATOMIC_POSITIONS angstrom
Ba 2.137 5.534 3.670
Li 2.137 4.884 11.009
S 0.000 0.000 0.000
Ac 0.000 5.265 13.839
Ac 0.000 5.265 8.178
Ac 2.137 1.870 0.839
S 2.137 3.286 9.152
S 0.000 3.849 1.812
S 2.137 0.891 3.670
S 0.000 0.000 7.339
Ba 0.000 1.601 11.009
Ac 2.137 1.870 6.500
Li 0.000 2.251 3.670
S 2.137 3.286 12.866
S 0.000 3.849 5.527
S 0.000 6.244 11.009
```

---

The following is a DFT calculation (PBE-GGA) of BaLi2AcSb2 after structural relaxation. Values from VASP.

Values from the calculation:
The value obtained for the total magnetization is 0.1 μB per cell. The calculation puts the total energy at -3.913 eV per atom. The density of states at the Fermi level comes out at 3.8 states/eV per cell.

Structure (Quantum ESPRESSO input):
```
&SYSTEM
  ibrav = 0, nat = 6, ntyp = 4
/
ATOMIC_SPECIES
Ac 227.00 Ac.upf
Li 6.94 Li.upf
Sb 121.76 Sb.upf
Ba 137.33 Ba.upf
CELL_PARAMETERS angstrom
4.813 0.000 0.000
-2.406 4.168 0.000
0.000 0.000 9.085
ATOMIC_POSITIONS angstrom
Ac 0.000 0.000 4.543
Li 2.406 1.389 2.399
Sb 0.000 2.779 2.401
Sb 2.406 1.389 6.685
Li 0.000 2.779 6.687
Ba 0.000 0.000 0.000
```

---

The following is a DFT calculation (PBE-GGA) of BaLi2Ac2Sb2 after structural relaxation. Values from VASP.

Values from the calculation:
The value obtained for the total magnetization is 1.2 μB per cell. The calculation puts the total energy at -3.827 eV per atom. The density of states at the Fermi level comes out at 4.1 states/eV per cell.

Structure (Quantum ESPRESSO input):
```
&SYSTEM
  ibrav = 0, nat = 7, ntyp = 4
/
ATOMIC_SPECIES
Li 6.94 Li.upf
Sb 121.76 Sb.upf
Ba 137.33 Ba.upf
Ac 227.00 Ac.upf
CELL_PARAMETERS angstrom
-2.550 0.468 -3.878
-0.980 -3.739 -2.612
-11.852 -3.035 4.624
ATOMIC_POSITIONS angstrom
Li -4.459 -2.564 -2.988
Sb -3.234 -1.465 -0.855
Ba 0.000 0.000 0.000
Ac -7.884 -2.312 2.101
Li -10.923 -3.742 1.122
Sb -12.148 -4.841 -1.011
Ac -7.498 -3.994 -3.967
```

---

The following is a DFT calculation (PBE-GGA) of Ba2LiAcSe4 after structural relaxation. Values from VASP.

Values from the calculation:
The value obtained for the total magnetization is 0.0 μB per cell. The calculation puts the total energy at -4.796 eV per atom.

Structure (Quantum ESPRESSO input):
```
&SYSTEM
  ibrav = 0, nat = 8, ntyp = 4
/
ATOMIC_SPECIES
Se 78.96 Se.upf
Ac 227.00 Ac.upf
Ba 137.33 Ba.upf
Li 6.94 Li.upf
CELL_PARAMETERS angstrom
4.595 0.000 0.000
0.000 7.882 -0.204
0.000 2.730 7.279
ATOMIC_POSITIONS angstrom
Se 4.595 2.783 1.743
Ac 0.000 5.306 3.538
Se 2.298 4.171 5.374
Se 0.000 7.829 5.332
Se 2.298 6.441 1.701
Ba 0.000 2.730 7.279
Ba 2.298 1.365 3.639
Li 2.298 3.941 -0.102
```